Computed, not measured: an optimized crystal structure of CuSb2Pb at the PBE level of DFT.

Output
E_form (uncorrected)	0.09	eV/atom
raw total energy	-3.924	eV/atom
DOS at the Fermi energy	1.7	states/eV/cell
total moment	0.00	μB per formula unit

abc: 8.163 8.163 8.163
angles: 27.61 27.61 27.61
Sites, in units of the cell vectors:
Cu (0.250, 0.250, 0.250)
Pb (0.750, 0.750, 0.750)
Sb (0.977, 0.977, 0.977)
Sb (0.523, 0.523, 0.523)